DFT (PBE-GGA) results for crystalline LaScBi3 at its relaxed geometry.

Values from the calculation:
* magnetic moment: 0.00 μB per formula unit
* DOS(E_F): 0.9130 states/eV/atom
* excess energy over the best structure of this formula in the dataset: 2.02 eV per formula unit
* formation energy: -1.3 eV per formula unit

Geometry as CIF:
```
data_LaScBi3
_chemical_formula_sum 'La1 Sc1 Bi3'
_cell_length_a 5.5807
_cell_length_b 5.5807
_cell_length_c 5.5807
_cell_angle_alpha 90.00
_cell_angle_beta 90.00
_cell_angle_gamma 90.00
_symmetry_space_group_name_H-M 'P 1'
_symmetry_Int_Tables_number 1
_symmetry_space_group_name_Hall 'P 1'
loop_
_atom_site_label
_atom_site_type_symbol
_atom_site_fract_x
_atom_site_fract_y
_atom_site_fract_z
_atom_site_occupancy
La1 La 0.0000 0.0000 0.0000 1
Sc1 Sc 0.5000 0.5000 0.5000 1
Bi1 Bi 0.0000 0.5000 0.5000 1
Bi2 Bi 0.5000 0.0000 0.5000 1
Bi3 Bi 0.5000 0.5000 0.0000 1
```


DFT (PBE-GGA) results for crystalline CuAsHBr2 at its relaxed geometry.

Values from the calculation:
* magnetic moment: 0.00 μB per formula unit
* DOS(E_F): 0.5373 states/eV/atom
* excess energy over the best structure of this formula in the dataset: 0.00 eV per formula unit

Geometry as CIF:
```
data_CuAsHBr2
_chemical_formula_sum 'Cu1 As1 H1 Br2'
_cell_length_a 5.1940
_cell_length_b 5.1940
_cell_length_c 3.4641
_cell_angle_alpha 90.00
_cell_angle_beta 90.00
_cell_angle_gamma 90.00
_symmetry_space_group_name_H-M 'P 1'
_symmetry_Int_Tables_number 1
_symmetry_space_group_name_Hall 'P 1'
loop_
_atom_site_label
_atom_site_type_symbol
_atom_site_fract_x
_atom_site_fract_y
_atom_site_fract_z
_atom_site_occupancy
Cu1 Cu 0.0000 0.0000 0.0000 1
As1 As 0.5000 0.5000 0.0000 1
H1 H 0.5000 0.5000 0.5000 1
Br1 Br 0.0000 0.5000 0.5000 1
Br2 Br 0.5000 0.0000 0.5000 1
```


DFT (PBE-GGA) results for crystalline BaNi4P at its relaxed geometry.

Values from the calculation:
* magnetic moment: 2.29 μB per formula unit
* DOS(E_F): 1.4372 states/eV/atom
* formation energy: 1.9 eV per formula unit

Geometry as CIF:
```
data_BaNi4P
_chemical_formula_sum 'Ba1 Ni4 P1'
_cell_length_a 5.1104
_cell_length_b 5.1104
_cell_length_c 5.1104
_cell_angle_alpha 60.00
_cell_angle_beta 60.00
_cell_angle_gamma 60.00
_symmetry_space_group_name_H-M 'P 1'
_symmetry_Int_Tables_number 1
_symmetry_space_group_name_Hall 'P 1'
loop_
_atom_site_label
_atom_site_type_symbol
_atom_site_fract_x
_atom_site_fract_y
_atom_site_fract_z
_atom_site_occupancy
Ba1 Ba 0.0000 0.0000 0.0000 1
Ni1 Ni 0.1318 0.6227 0.6227 1
Ni2 Ni 0.6227 0.1318 0.6227 1
Ni3 Ni 0.6227 0.6227 0.1318 1
Ni4 Ni 0.6227 0.6227 0.6227 1
P1 P 0.2500 0.2500 0.2500 1
```


DFT (PBE-GGA) results for crystalline CrOs2W at its relaxed geometry.

Values from the calculation:
* magnetic moment: 0.01 μB per formula unit
* DOS(E_F): 1.1008 states/eV/atom
* excess energy over the best structure of this formula in the dataset: 0.02 eV per formula unit
* formation energy: 0.4 eV per formula unit

Geometry as CIF:
```
data_CrOs2W
_chemical_formula_sum 'Cr1 Os2 W1'
_cell_length_a 4.6959
_cell_length_b 4.6959
_cell_length_c 4.6959
_cell_angle_alpha 131.32
_cell_angle_beta 131.32
_cell_angle_gamma 71.31
_symmetry_space_group_name_H-M 'P 1'
_symmetry_Int_Tables_number 1
_symmetry_space_group_name_Hall 'P 1'
loop_
_atom_site_label
_atom_site_type_symbol
_atom_site_fract_x
_atom_site_fract_y
_atom_site_fract_z
_atom_site_occupancy
Cr1 Cr 0.0000 0.0000 0.0000 1
Os1 Os 0.2500 0.7500 0.5000 1
Os2 Os 0.7500 0.2500 0.5000 1
W1 W 0.5000 0.5000 0.0000 1
```


DFT (PBE-GGA) results for crystalline ScTiGe2 at its relaxed geometry.

Values from the calculation:
* magnetic moment: 0.00 μB per formula unit
* DOS(E_F): 0.3697 states/eV/atom
* excess energy over the best structure of this formula in the dataset: 0.21 eV per formula unit
* formation energy: -2.2 eV per formula unit

Geometry as CIF:
```
data_ScTiGe2
_chemical_formula_sum 'Sc1 Ti1 Ge2'
_cell_length_a 6.9677
_cell_length_b 6.9677
_cell_length_c 6.9677
_cell_angle_alpha 30.32
_cell_angle_beta 30.32
_cell_angle_gamma 30.32
_symmetry_space_group_name_H-M 'P 1'
_symmetry_Int_Tables_number 1
_symmetry_space_group_name_Hall 'P 1'
loop_
_atom_site_label
_atom_site_type_symbol
_atom_site_fract_x
_atom_site_fract_y
_atom_site_fract_z
_atom_site_occupancy
Sc1 Sc 0.0000 0.0000 0.0000 1
Ti1 Ti 0.5000 0.5000 0.5000 1
Ge1 Ge 0.2442 0.2442 0.2442 1
Ge2 Ge 0.7558 0.7558 0.7558 1
```


DFT (PBE-GGA) results for crystalline CuIrO5 at its relaxed geometry.

Values from the calculation:
* magnetic moment: 0.00 μB per formula unit
* formation energy (no corrections): -0.319 eV/atom
* DOS(E_F): 0.3107 states/eV/atom

Geometry as CIF:
```
data_CuIrO5
_chemical_formula_sum 'Cu2 Ir2 O10'
_cell_length_a 6.4917
_cell_length_b 6.4917
_cell_length_c 6.6659
_cell_angle_alpha 108.94
_cell_angle_beta 108.94
_cell_angle_gamma 66.91
_symmetry_space_group_name_H-M 'P 1'
_symmetry_Int_Tables_number 1
_symmetry_space_group_name_Hall 'P 1'
loop_
_atom_site_label
_atom_site_type_symbol
_atom_site_fract_x
_atom_site_fract_y
_atom_site_fract_z
_atom_site_occupancy
Cu1 Cu 0.0353 0.9647 0.5000 1
Cu2 Cu 0.9647 0.0353 0.0000 1
Ir1 Ir 0.4745 0.8792 0.8353 1
Ir2 Ir 0.8792 0.4745 0.3353 1
O1 O 0.0681 0.4557 0.5910 1
O2 O 0.1342 0.9134 0.7821 1
O3 O 0.3371 0.9965 0.5871 1
O4 O 0.4557 0.0681 0.0910 1
O5 O 0.5565 0.5836 0.8092 1
O6 O 0.5836 0.5565 0.3092 1
O7 O 0.7448 0.8985 0.8183 1
O8 O 0.8985 0.7448 0.3183 1
O9 O 0.9134 0.1342 0.2821 1
O10 O 0.9965 0.3371 0.0871 1
```


DFT (PBE-GGA) results for crystalline Si2PdRh at its relaxed geometry.

Values from the calculation:
* magnetic moment: 0.00 μB per formula unit
* formation energy (no corrections): -0.472 eV/atom
* DOS(E_F): 0.4772 states/eV/atom

Geometry as CIF:
```
data_Si2PdRh
_chemical_formula_sum 'Si2 Pd1 Rh1'
_cell_length_a 5.1567
_cell_length_b 5.1567
_cell_length_c 5.1567
_cell_angle_alpha 44.14
_cell_angle_beta 44.14
_cell_angle_gamma 44.14
_symmetry_space_group_name_H-M 'P 1'
_symmetry_Int_Tables_number 1
_symmetry_space_group_name_Hall 'P 1'
loop_
_atom_site_label
_atom_site_type_symbol
_atom_site_fract_x
_atom_site_fract_y
_atom_site_fract_z
_atom_site_occupancy
Si1 Si 0.0000 0.0000 0.0000 1
Si2 Si 0.1865 0.1865 0.1865 1
Pd1 Pd 0.7734 0.7734 0.7734 1
Rh1 Rh 0.5769 0.5769 0.5769 1
```


DFT (PBE-GGA) results for crystalline BaLa2ZnH at its relaxed geometry.

Values from the calculation:
* magnetic moment: 0.00 μB per formula unit
* DOS(E_F): 1.9524 states/eV/atom
* final energy: -2.69 eV per atom

Geometry as CIF:
```
data_BaLa2ZnH
_chemical_formula_sum 'Ba1 La2 Zn1 H1'
_cell_length_a 5.7483
_cell_length_b 5.7483
_cell_length_c 6.4943
_cell_angle_alpha 90.00
_cell_angle_beta 90.00
_cell_angle_gamma 90.00
_symmetry_space_group_name_H-M 'P 1'
_symmetry_Int_Tables_number 1
_symmetry_space_group_name_Hall 'P 1'
loop_
_atom_site_label
_atom_site_type_symbol
_atom_site_fract_x
_atom_site_fract_y
_atom_site_fract_z
_atom_site_occupancy
Ba1 Ba 0.0000 0.0000 0.0000 1
La1 La 0.0000 0.5000 0.5000 1
La2 La 0.5000 0.0000 0.5000 1
Zn1 Zn 0.0000 0.0000 0.5000 1
H1 H 0.5000 0.5000 0.0000 1
```


DFT (PBE-GGA) results for crystalline PuPaTiPt at its relaxed geometry.

Values from the calculation:
* magnetic moment: 6.95 μB per formula unit
* DOS(E_F): 1.8259 states/eV/atom
* formation energy: -1.7 eV per formula unit

Geometry as CIF:
```
data_PuPaTiPt
_chemical_formula_sum 'Pu1 Pa1 Ti1 Pt1'
_cell_length_a 4.8065
_cell_length_b 4.8065
_cell_length_c 4.8065
_cell_angle_alpha 60.00
_cell_angle_beta 60.00
_cell_angle_gamma 60.00
_symmetry_space_group_name_H-M 'P 1'
_symmetry_Int_Tables_number 1
_symmetry_space_group_name_Hall 'P 1'
loop_
_atom_site_label
_atom_site_type_symbol
_atom_site_fract_x
_atom_site_fract_y
_atom_site_fract_z
_atom_site_occupancy
Pu1 Pu 0.0000 0.0000 0.0000 1
Pa1 Pa 0.2500 0.2500 0.2500 1
Ti1 Ti 0.7500 0.7500 0.7500 1
Pt1 Pt 0.5000 0.5000 0.5000 1
```


DFT (PBE-GGA) results for crystalline ZrBOF2 at its relaxed geometry.

Values from the calculation:
* magnetic moment: 0.98 μB per formula unit
* formation energy (no corrections): -1.528 eV/atom
* DOS(E_F): 0.3294 states/eV/atom
* excess energy over the best structure of this formula in the dataset: 0.00 eV per formula unit

Geometry as CIF:
```
data_ZrBOF2
_chemical_formula_sum 'Zr1 B1 O1 F2'
_cell_length_a 4.2764
_cell_length_b 4.2764
_cell_length_c 4.0745
_cell_angle_alpha 90.00
_cell_angle_beta 90.00
_cell_angle_gamma 90.00
_symmetry_space_group_name_H-M 'P 1'
_symmetry_Int_Tables_number 1
_symmetry_space_group_name_Hall 'P 1'
loop_
_atom_site_label
_atom_site_type_symbol
_atom_site_fract_x
_atom_site_fract_y
_atom_site_fract_z
_atom_site_occupancy
Zr1 Zr 0.0000 0.0000 0.0000 1
B1 B 0.5000 0.5000 0.5000 1
O1 O 0.0000 0.0000 0.5000 1
F1 F 0.0000 0.5000 0.0000 1
F2 F 0.5000 0.0000 0.0000 1
```


DFT (PBE-GGA) results for crystalline ZrBe2Ag at its relaxed geometry.

Values from the calculation:
* magnetic moment: 0.00 μB per formula unit
* DOS(E_F): 0.4873 states/eV/atom
* excess energy over the best structure of this formula in the dataset: 1.50 eV per formula unit
* formation energy: 1.6 eV per formula unit

Geometry as CIF:
```
data_ZrBe2Ag
_chemical_formula_sum 'Zr1 Be2 Ag1'
_cell_length_a 8.7354
_cell_length_b 8.7354
_cell_length_c 8.7354
_cell_angle_alpha 18.89
_cell_angle_beta 18.89
_cell_angle_gamma 18.89
_symmetry_space_group_name_H-M 'P 1'
_symmetry_Int_Tables_number 1
_symmetry_space_group_name_Hall 'P 1'
loop_
_atom_site_label
_atom_site_type_symbol
_atom_site_fract_x
_atom_site_fract_y
_atom_site_fract_z
_atom_site_occupancy
Zr1 Zr 0.0000 0.0000 0.0000 1
Be1 Be 0.2433 0.2433 0.2433 1
Be2 Be 0.7567 0.7567 0.7567 1
Ag1 Ag 0.5000 0.5000 0.5000 1
```


DFT (PBE-GGA) results for crystalline Ac3Cu9Si2 at its relaxed geometry.

Values from the calculation:
* magnetic moment: 0.00 μB per formula unit
* formation energy (no corrections): -0.177 eV/atom
* DOS(E_F): 0.4767 states/eV/atom

Geometry as CIF:
```
data_Ac3Cu9Si2
_chemical_formula_sum 'Ac3 Cu9 Si2'
_cell_length_a 8.2158
_cell_length_b 8.2158
_cell_length_c 8.2158
_cell_angle_alpha 150.05
_cell_angle_beta 103.74
_cell_angle_gamma 84.03
_symmetry_space_group_name_H-M 'P 1'
_symmetry_Int_Tables_number 1
_symmetry_space_group_name_Hall 'P 1'
loop_
_atom_site_label
_atom_site_type_symbol
_atom_site_fract_x
_atom_site_fract_y
_atom_site_fract_z
_atom_site_occupancy
Ac1 Ac 0.0000 0.0000 0.0000 1
Ac2 Ac 0.3103 0.3103 0.0000 1
Ac3 Ac 0.6897 0.6897 0.0000 1
Cu1 Cu 0.0024 0.6859 0.3165 1
Cu2 Cu 0.1813 0.8946 0.2867 1
Cu3 Cu 0.3694 0.6859 0.6835 1
Cu4 Cu 0.3921 0.1054 0.2867 1
Cu5 Cu 0.5000 0.0000 0.5000 1
Cu6 Cu 0.6079 0.8946 0.7133 1
Cu7 Cu 0.6306 0.3141 0.3165 1
Cu8 Cu 0.8187 0.1054 0.7133 1
Cu9 Cu 0.9976 0.3141 0.6835 1
Si1 Si 0.2611 0.5000 0.7611 1
Si2 Si 0.7389 0.5000 0.2389 1
```